An optimized crystal structure of CdPbAu2, computed with GGA-PBE.

Geometry as CIF:
```
data_CdPbAu2
_cell_length_a 3.3238
_cell_length_b 3.3238
_cell_length_c 27.8604
_cell_angle_alpha 90.00
_cell_angle_beta 90.00
_cell_angle_gamma 120.00
_symmetry_space_group_name_H-M 'R -3 m'
_symmetry_Int_Tables_number 166
_symmetry_space_group_name_Hall '-R 3 2"'
loop_
_atom_site_label
_atom_site_type_symbol
_atom_site_fract_x
_atom_site_fract_y
_atom_site_fract_z
_atom_site_occupancy
Cd1 Cd 0.0000 0.0000 0.0000 1
Pb1 Pb 0.0000 0.0000 0.5000 1
Au1 Au 0.0000 0.0000 0.2557 1
```

Summary:
* N(E_F): 1.781 states/eV/f.u.
* formation enthalpy at 0 K: -0.01 eV per atom

***

An optimized crystal structure of Zn2BiN2, computed with GGA-PBE.

Geometry as CIF:
```
data_Zn2BiN2
_cell_length_a 3.5694
_cell_length_b 3.5694
_cell_length_c 11.3426
_cell_angle_alpha 90.00
_cell_angle_beta 90.00
_cell_angle_gamma 90.00
_symmetry_space_group_name_H-M 'I 4/m m m'
_symmetry_Int_Tables_number 139
_symmetry_space_group_name_Hall '-I 4 2'
loop_
_atom_site_label
_atom_site_type_symbol
_atom_site_fract_x
_atom_site_fract_y
_atom_site_fract_z
_atom_site_occupancy
Zn1 Zn 0.0000 0.5000 0.2500 1
Bi1 Bi 0.0000 0.0000 0.0000 1
N1 N 0.0000 0.0000 0.3544 1
```

Summary:
* N(E_F): 3.061 states/eV/f.u.
* excess energy over the best structure of this formula in the dataset: 0.163 eV per atom

***

An optimized crystal structure of BeNb2C, computed with GGA-PBE.

Geometry as CIF:
```
data_BeNb2C
_cell_length_a 5.8045
_cell_length_b 5.8045
_cell_length_c 5.8045
_cell_angle_alpha 90.00
_cell_angle_beta 90.00
_cell_angle_gamma 90.00
_symmetry_space_group_name_H-M 'F m -3 m'
_symmetry_Int_Tables_number 225
_symmetry_space_group_name_Hall '-F 4 2 3'
loop_
_atom_site_label
_atom_site_type_symbol
_atom_site_fract_x
_atom_site_fract_y
_atom_site_fract_z
_atom_site_occupancy
Be1 Be 0.0000 0.0000 0.0000 1
Nb1 Nb 0.2500 0.2500 0.2500 1
C1 C 0.0000 0.0000 0.5000 1
```

Summary:
* N(E_F): 4.629 states/eV/f.u.
* excess energy over the best structure of this formula in the dataset: 0.935 eV per atom
* formation enthalpy at 0 K: 0.59 eV per atom

***

An optimized crystal structure of Nd2Y3Ho9, computed with GGA-PBE.

Geometry as CIF:
```
data_Nd2Y3Ho9
_cell_length_a 6.4164
_cell_length_b 8.3954
_cell_length_c 8.8913
_cell_angle_alpha 87.76
_cell_angle_beta 83.31
_cell_angle_gamma 71.13
_symmetry_space_group_name_H-M 'P 1'
_symmetry_Int_Tables_number 1
loop_
_symmetry_equiv_pos_as_xyz
'x,y,z'
loop_
_atom_site_label
_atom_site_type_symbol
_atom_site_fract_x
_atom_site_fract_y
_atom_site_fract_z
_atom_site_occupancy
Nd1 Nd 0.0000 0.0000 0.0000 1
Nd2 Nd 0.1476 0.6484 0.1968 1
Y1 Y 0.4707 0.0387 0.7928 1
Y2 Y 0.6208 0.3444 0.1648 1
Y3 Y 0.7993 0.5487 0.4500 1
Ho1 Ho 0.0750 0.3886 0.9488 1
Ho2 Ho 0.1882 0.1735 0.2836 1
Ho3 Ho 0.3097 0.8256 0.5008 1
Ho4 Ho 0.3444 0.3928 0.5431 1
Ho5 Ho 0.5054 0.5816 0.8258 1
Ho6 Ho 0.6027 0.7874 0.1218 1
Ho7 Ho 0.7509 0.9860 0.4138 1
Ho8 Ho 0.9232 0.1984 0.6632 1
Ho9 Ho 0.9501 0.7377 0.7463 1
```

Summary:
* N(E_F): 23.324 states/eV/f.u.
* formation enthalpy at 0 K: 0.08 eV per atom

***

An optimized crystal structure of Li3Dy3UTe8, computed with GGA-PBE.

Geometry as CIF:
```
data_Li3Dy3UTe8
_cell_length_a 8.6922
_cell_length_b 8.6922
_cell_length_c 21.2007
_cell_angle_alpha 90.00
_cell_angle_beta 90.00
_cell_angle_gamma 120.00
_symmetry_space_group_name_H-M 'R -3 m'
_symmetry_Int_Tables_number 166
_symmetry_space_group_name_Hall '-R 3 2"'
loop_
_atom_site_label
_atom_site_type_symbol
_atom_site_fract_x
_atom_site_fract_y
_atom_site_fract_z
_atom_site_occupancy
Li1 Li 0.0000 0.5000 0.0000 1
Dy1 Dy 0.0000 0.5000 0.5000 1
U1 U 0.0000 0.0000 0.5000 1
Te1 Te 0.0000 0.0000 0.2519 1
Te2 Te 0.0004 0.5002 0.2507 1
```

Summary:
* calculated total energy: -219.3 eV per cell
* N(E_F): 5.195 states/eV/f.u.

***

An optimized crystal structure of Nd3Er3Sc2, computed with GGA-PBE.

Geometry as CIF:
```
data_Nd3Er3Sc2
_cell_length_a 4.9854
_cell_length_b 5.0185
_cell_length_c 9.7794
_cell_angle_alpha 90.00
_cell_angle_beta 90.00
_cell_angle_gamma 90.00
_symmetry_space_group_name_H-M 'P m m m'
_symmetry_Int_Tables_number 47
loop_
_symmetry_equiv_pos_as_xyz
'x,y,z'
'-x,-y,-z'
'-x,-y,z'
'x,y,-z'
'x,-y,-z'
'-x,y,z'
'-x,y,-z'
'x,-y,z'
loop_
_atom_site_label
_atom_site_type_symbol
_atom_site_fract_x
_atom_site_fract_y
_atom_site_fract_z
_atom_site_occupancy
Nd1 Nd 0.0000 0.0000 0.0000 1
Nd2 Nd 0.0000 0.0000 0.5000 1
Nd3 Nd 0.5000 0.5000 0.0000 1
Er1 Er 0.0000 0.5000 0.2526 1
Er2 Er 0.5000 0.5000 0.5000 1
Sc1 Sc 0.5000 0.0000 0.2528 1
```

Summary:
* N(E_F): 12.712 states/eV/f.u.
* excess energy over the best structure of this formula in the dataset: 0.000 eV per atom
* formation enthalpy at 0 K: 0.05 eV per atom

***

An optimized crystal structure of Li2BePt, computed with GGA-PBE.

Geometry as CIF:
```
data_Li2BePt
_cell_length_a 2.6936
_cell_length_b 2.6936
_cell_length_c 26.1634
_cell_angle_alpha 90.00
_cell_angle_beta 90.00
_cell_angle_gamma 120.00
_symmetry_space_group_name_H-M 'R -3 m'
_symmetry_Int_Tables_number 166
_symmetry_space_group_name_Hall '-R 3 2"'
loop_
_atom_site_label
_atom_site_type_symbol
_atom_site_fract_x
_atom_site_fract_y
_atom_site_fract_z
_atom_site_occupancy
Li1 Li 0.0000 0.0000 0.2477 1
Be1 Be 0.0000 0.0000 0.0000 1
Pt1 Pt 0.0000 0.0000 0.5000 1
```

Summary:
* N(E_F): 1.329 states/eV/f.u.
* formation enthalpy at 0 K: -0.13 eV per atom

***

An optimized crystal structure of Fe2Sb2Pb, computed with GGA-PBE.

Geometry as CIF:
```
data_Fe2Sb2Pb
_cell_length_a 4.6138
_cell_length_b 4.6138
_cell_length_c 9.5667
_cell_angle_alpha 90.00
_cell_angle_beta 90.00
_cell_angle_gamma 90.00
_symmetry_space_group_name_H-M 'I 4/m m m'
_symmetry_Int_Tables_number 139
_symmetry_space_group_name_Hall '-I 4 2'
loop_
_atom_site_label
_atom_site_type_symbol
_atom_site_fract_x
_atom_site_fract_y
_atom_site_fract_z
_atom_site_occupancy
Fe1 Fe 0.0000 0.0000 0.1143 1
Sb1 Sb 0.0000 0.5000 0.2500 1
Pb1 Pb 0.0000 0.0000 0.5000 1
```

Summary:
* N(E_F): 3.106 states/eV/f.u.
* excess energy over the best structure of this formula in the dataset: 0.138 eV per atom

***

An optimized crystal structure of TbNd3Sm4S8, computed with GGA-PBE.

Geometry as CIF:
```
data_TbNd3Sm4S8
_cell_length_a 8.0486
_cell_length_b 8.0486
_cell_length_c 19.6997
_cell_angle_alpha 90.00
_cell_angle_beta 90.00
_cell_angle_gamma 120.00
_symmetry_space_group_name_H-M 'R -3 m'
_symmetry_Int_Tables_number 166
_symmetry_space_group_name_Hall '-R 3 2"'
loop_
_atom_site_label
_atom_site_type_symbol
_atom_site_fract_x
_atom_site_fract_y
_atom_site_fract_z
_atom_site_occupancy
Tb1 Tb 0.0000 0.0000 0.0000 1
Nd1 Nd 0.0000 0.5000 0.0000 1
Sm1 Sm 0.0000 0.0000 0.5000 1
Sm2 Sm 0.0000 0.5000 0.5000 1
S1 S 0.0000 0.0000 0.2480 1
S2 S 0.0065 0.5033 0.7503 1
```

Summary:
* calculated total energy: -309.3 eV per cell
* N(E_F): 9.019 states/eV/f.u.

***

An optimized crystal structure of Zr3HgN, computed with GGA-PBE.

Geometry as CIF:
```
data_Zr3HgN
_cell_length_a 4.8396
_cell_length_b 4.8396
_cell_length_c 22.6384
_cell_angle_alpha 90.00
_cell_angle_beta 90.00
_cell_angle_gamma 90.00
_symmetry_space_group_name_H-M 'I -4 m 2'
_symmetry_Int_Tables_number 119
_symmetry_space_group_name_Hall 'I -4 -2'
loop_
_atom_site_label
_atom_site_type_symbol
_atom_site_fract_x
_atom_site_fract_y
_atom_site_fract_z
_atom_site_occupancy
Zr1 Zr 0.0000 0.0000 0.1893 1
Zr2 Zr 0.0000 0.2434 0.6263 1
Hg1 Hg 0.0000 0.0000 0.5000 1
Hg2 Hg 0.0000 0.5000 0.7500 1
N1 N 0.0000 0.5000 0.1545 1
```

Summary:
* calculated total energy: -121.2 eV per cell
* N(E_F): 6.613 states/eV/f.u.

***

An optimized crystal structure of CuRh2Br, computed with GGA-PBE.

Geometry as CIF:
```
data_CuRh2Br
_cell_length_a 2.8555
_cell_length_b 4.9813
_cell_length_c 9.0050
_cell_angle_alpha 90.00
_cell_angle_beta 90.00
_cell_angle_gamma 90.00
_symmetry_space_group_name_H-M 'C m m 2'
_symmetry_Int_Tables_number 35
loop_
_symmetry_equiv_pos_as_xyz
'x,y,z'
'-x,-y,z'
'-x,y,z'
'x,-y,z'
'x+1/2,y+1/2,z'
'-x+1/2,-y+1/2,z'
'-x+1/2,y+1/2,z'
'x+1/2,-y+1/2,z'
loop_
_atom_site_label
_atom_site_type_symbol
_atom_site_fract_x
_atom_site_fract_y
_atom_site_fract_z
_atom_site_occupancy
Cu1 Cu 0.0000 0.0000 0.0000 1
Rh1 Rh 0.0000 0.0000 0.5228 1
Rh2 Rh 0.0000 0.5000 0.7652 1
Br1 Br 0.0000 0.5000 0.2559 1
```

Summary:
* N(E_F): 5.569 states/eV/f.u.
* excess energy over the best structure of this formula in the dataset: 0.221 eV per atom

***

An optimized crystal structure of Tl2CdAu2, computed with GGA-PBE.

Geometry as CIF:
```
data_Tl2CdAu2
_cell_length_a 8.4584
_cell_length_b 8.4584
_cell_length_c 3.5433
_cell_angle_alpha 90.00
_cell_angle_beta 90.00
_cell_angle_gamma 90.00
_symmetry_space_group_name_H-M 'P 4/m b m'
_symmetry_Int_Tables_number 127
_symmetry_space_group_name_Hall '-P 4 2ab'
loop_
_atom_site_label
_atom_site_type_symbol
_atom_site_fract_x
_atom_site_fract_y
_atom_site_fract_z
_atom_site_occupancy
Tl1 Tl 0.1756 0.3244 0.0000 1
Cd1 Cd 0.0000 0.0000 0.0000 1
Au1 Au 0.1210 0.6210 0.5000 1
```

Summary:
* N(E_F): 1.913 states/eV/f.u.
* excess energy over the best structure of this formula in the dataset: 0.153 eV per atom
* formation enthalpy at 0 K: 0.12 eV per atom